Computed, not measured: a geometry-optimized AgOs2Rh structure at the PBE-GGA level of DFT.

POSCAR file:
```
AgOs2Rh
1.0
1.3821 -2.3429 0.0000
1.3821 2.3429 0.0000
0.0000 0.0000 9.5344
Ag Os Rh
1 2 1
direct
0.0000 0.0000 0.0000
0.0000 0.0000 0.5019
0.5000 0.5000 0.2675
0.5000 0.5000 0.7414
```

Output
- DOS(E_F): 5.1 states/eV/cell
- Energy of formation: 0.53 eV per atom
- Energy relative to the lowest polymorph listed for this composition: 281 meV/atom